(1)
ScSiBr2 (meta-GGA SCAN, PBEsol geometry); crystal system = trigonal; distance to the lowest polymorph of the same formula = 0.304 eV per atom
1.0
3.390 0.000 0.000
1.695 2.935 0.000
1.695 0.978 9.598
Br Sc Si
2 1 1
direct
0.229 0.229 0.313
0.771 0.771 0.687
0.500 0.500 0.500
0.000 0.000 0.000

---

(2)
Sc3SnBr (meta-GGA SCAN, PBEsol geometry); crystal system = cubic
1.0
-0.788 1.343 -4.636
-4.796 0.311 0.906
0.543 4.692 1.267
Sc Sn Br
3 1 1
direct
0.000 0.500 0.000
0.000 0.000 0.500
0.500 0.000 0.000
0.500 0.500 0.500
0.000 0.000 0.000

---

(3)
ScSnTeBr2 (meta-GGA SCAN, PBEsol geometry); crystal system = tetragonal
1.0
-0.084 -4.217 3.324
5.148 0.881 1.247
-1.691 3.556 4.469
Sc Te Sn Br
1 1 1 2
direct
0.500 0.500 0.500
0.000 0.000 0.500
0.000 0.000 0.000
0.000 0.500 0.000
0.500 0.000 0.000

---

(4)
SrSc2Br (meta-GGA SCAN, PBEsol geometry); crystal system = trigonal; distance to the lowest polymorph of the same formula = 0.000 eV per atom
1.0
-1.403 3.131 1.065
-3.518 0.252 0.682
-0.015 -1.304 9.869
Br Sc Sr
1 2 1
direct
0.259 0.259 0.223
0.993 0.993 0.021
0.740 0.740 0.780
0.508 0.508 0.475

---

(5)
SrSc2Br (meta-GGA SCAN, PBEsol geometry); crystal system = tetragonal; distance to the lowest polymorph of the same formula = 0.760 eV per atom
1.0
-0.613 1.413 -3.264
-3.450 -4.135 -1.141
-4.187 2.926 2.053
Br Sc Sr
1 2 1
direct
0.500 0.000 0.000
0.000 0.000 0.500
0.000 0.500 0.000
0.500 0.500 0.500

---

(6)
SrSc2Br (meta-GGA SCAN, PBEsol geometry); crystal system = cubic; distance to the lowest polymorph of the same formula = 0.982 eV per atom
1.0
-1.174 3.239 4.093
-4.845 -0.195 2.262
-0.574 -2.012 4.924
Br Sc Sr
1 2 1
direct
0.000 0.000 0.000
0.250 0.250 0.250
0.750 0.750 0.750
0.500 0.500 0.500

---

(7)
ScTaBr2 (meta-GGA SCAN, PBEsol geometry); crystal system = trigonal; distance to the lowest polymorph of the same formula = 0.478 eV per atom
1.0
3.178 0.000 0.000
1.589 2.752 0.000
1.589 0.917 8.802
Br Sc Ta
2 1 1
direct
0.253 0.253 0.240
0.747 0.747 0.760
0.500 0.500 0.500
0.000 0.000 0.000

---

(8)
ScTa2Br (meta-GGA SCAN, PBEsol geometry); crystal system = monoclinic; distance to the lowest polymorph of the same formula = 0.000 eV per atom
1.0
3.154 0.000 0.000
0.000 4.638 -0.024
-1.577 -1.008 5.122
Br Sc Ta
1 1 2
direct
0.500 0.000 0.000
0.000 0.500 0.000
0.243 0.251 0.486
0.757 0.749 0.514

---

(9)
ScTa2Br (meta-GGA SCAN, PBEsol geometry); crystal system = tetragonal; distance to the lowest polymorph of the same formula = 0.154 eV per atom
1.0
-3.255 -1.499 1.373
1.959 -1.625 2.872
-0.722 4.194 2.865
Br Sc Ta
1 1 2
direct
0.500 0.500 0.500
0.000 0.000 0.500
0.000 0.500 0.000
0.500 0.000 0.000

---

(10)
ScTaBr2 (meta-GGA SCAN, PBEsol geometry); crystal system = orthorhombic; distance to the lowest polymorph of the same formula = 0.509 eV per atom
1.0
-1.827 -1.896 -1.626
3.089 0.493 -1.100
2.872 -6.997 4.933
Br Sc Ta
2 1 1
direct
0.000 0.000 0.758
0.000 0.000 0.242
0.500 0.000 0.500
0.500 0.000 0.000

---

(11)
ScTaBr2 (meta-GGA SCAN, PBEsol geometry); crystal system = orthorhombic; distance to the lowest polymorph of the same formula = 0.000 eV per atom
1.0
-1.521 -0.858 2.792
1.900 -3.093 0.085
4.582 5.052 4.048
Br Sc Ta
2 1 1
direct
0.000 0.170 0.966
0.500 0.856 0.336
0.000 0.435 0.494
0.500 0.039 0.704

---

(12)
ScTaBr3 (meta-GGA SCAN, PBEsol geometry); crystal system = cubic
1.0
5.064 0.000 0.000
0.000 5.064 0.000
0.000 0.000 5.064
Sc Br Ta
1 3 1
direct
0.500 0.500 0.500
0.000 0.500 0.000
0.000 0.000 0.500
0.500 0.000 0.000
0.000 0.000 0.000

---

(13)
ScTa2Br (meta-GGA SCAN, PBEsol geometry); crystal system = orthorhombic; distance to the lowest polymorph of the same formula = 0.262 eV per atom
1.0
-0.665 2.847 0.756
-1.761 -1.665 4.718
5.234 1.368 -0.545
Br Sc Ta
1 1 2
direct
0.500 0.000 0.000
0.500 0.500 0.000
0.000 0.500 0.500
0.000 0.000 0.500

---

(14)
ScTc3Br (meta-GGA SCAN, PBEsol geometry); crystal system = cubic
1.0
-4.443 1.180 -0.732
0.077 -2.240 -4.079
-1.387 -3.905 2.119
Sc Tc Br
1 3 1
direct
0.000 0.000 0.000
0.000 0.500 0.000
0.000 0.000 0.500
0.500 0.000 0.000
0.500 0.500 0.500

---

(15)
ScTcBr2 (meta-GGA SCAN, PBEsol geometry); crystal system = trigonal; distance to the lowest polymorph of the same formula = 0.107 eV per atom
1.0
-3.123 -0.842 -0.311
-0.789 -3.049 -0.800
-1.560 -3.382 7.829
Br Sc Tc
2 1 1
direct
0.245 0.245 0.266
0.755 0.755 0.734
0.500 0.500 0.500
0.000 0.000 0.000

---

(16)
ScTcBr2 (meta-GGA SCAN, PBEsol geometry); crystal system = orthorhombic; distance to the lowest polymorph of the same formula = 0.087 eV per atom
1.0
3.153 0.000 0.000
0.000 4.337 0.000
0.000 0.000 5.735
Br Sc Tc
2 1 1
direct
0.000 0.000 0.000
0.500 0.000 0.500
0.500 0.500 0.000
0.000 0.500 0.500

---

(17)
Sc2TcBr (meta-GGA SCAN, PBEsol geometry); crystal system = trigonal
1.0
-2.181 -1.151 -2.239
1.053 -0.954 -3.013
0.733 -8.140 0.991
Br Sc Tc
1 2 1
direct
0.500 0.500 0.500
0.743 0.743 0.771
0.257 0.257 0.229
0.000 0.000 0.000

---

(18)
ScTcBr2 (meta-GGA SCAN, PBEsol geometry); crystal system = cubic; distance to the lowest polymorph of the same formula = 0.166 eV per atom
1.0
-4.101 -1.287 1.656
-2.810 -2.594 -2.568
-0.748 -4.402 1.133
Br Sc Tc
2 1 1
direct
0.250 0.250 0.250
0.750 0.750 0.750
0.500 0.500 0.500
0.000 0.000 0.000

---

(19)
ScTcBr (meta-GGA SCAN, PBEsol geometry); crystal system = tetragonal
1.0
3.401 0.000 0.000
0.000 3.401 0.000
-1.701 -1.701 4.656
Br Sc Tc
1 1 1
direct
0.984 0.984 0.968
0.322 0.322 0.643
0.694 0.694 0.389

---

(20)
ScTcBr3 (meta-GGA SCAN, PBEsol geometry); crystal system = cubic
1.0
4.978 0.000 0.000
0.000 4.978 0.000
0.000 0.000 4.978
Sc Tc Br
1 1 3
direct
0.500 0.500 0.500
0.000 0.000 0.000
0.000 0.500 0.000
0.000 0.000 0.500
0.500 0.000 0.000

---

Calculated total energy, -16.2694, -19.8702, -25.4445, -18.0668, -17.3070, -17.0850, -29.9297, -41.4403, -41.2864, -29.8990, -30.4075, -27.6343, -41.1780, -25.5699, -22.0133, -22.0336, -21.3635, -21.9547, -22.7505, -21.4372 eV per atom (same order as the records).
Calculated total magnetization, 0.00, 0.00, 1.22, 0.31, 0.00, 0.00, 0.00, 0.00, 0.00, 0.00, 0.00, 3.45, 0.00, 5.99, 3.34, 1.83, 0.00, 2.16, 0.00, 0.32 μB per formula unit (same order as the records).
Calculated uncorrected formation energy, -10.99, -5.81, -4.13, -11.87, 5.65, 10.77, 0.12, 6.35, 9.90, 0.83, -10.90, 4.74, 12.40, 50.86, 0.94, 0.47, -14.18, 2.29, 3.88, 2.26 kcal/mol of atoms (same order as the records).